Below is a relaxed Li6GePd8 crystal, with properties calculated at the PBE level.

Geometry as POSCAR:
```
Li6GePd8
1.0
-2.9422 5.6224 1.5850
-6.0613 0.3473 -2.4332
-4.5370 -0.8475 4.6344
Pd Li Ge
8 6 1
Cartesian
-8.0412 3.7911 -0.6043
-6.3997 4.6638 4.0854
-8.4195 0.1927 2.9110
-3.5192 1.3313 0.9840
-10.0213 3.7909 2.8021
-5.4994 1.3310 4.3905
-5.1211 4.9295 0.8751
-7.1408 0.4583 -0.2993
-7.8411 2.6038 3.9436
-5.6995 2.5183 -0.1575
-7.6756 4.6834 1.7220
-5.8649 0.4388 2.0642
-4.6679 3.1833 2.6321
-8.8726 1.9388 1.1541
0.0000 0.0000 0.0000
```

Calculated values
excess energy over the best structure of this formula in the dataset: 0.038 eV per atom
calculated total energy: -0.3070 Ry/atom
symmetry: R-3, No. 148
ΔH_f (0 K): -5.00 eV/f.u.
density of states at the Fermi level: 4.10 states/eV per cell
mass density: 6.91 Mg/m³